This record from Alexandria via LeMat-Bulk describes AlNi5 at its PBEsol-relaxed geometry. The functional is SCAN.

The structure belongs to space group Cmmm (No. 65); the cell edges are 3.512, 10.474 and 3.480 Å and the angles 90.00°, 90.00° and 90.00°. The asymmetric unit holds Al at (0.000, 0.000, 0.000), Ni at (0.000, 0.169, 0.500), Ni at (0.000, 0.332, 0.000) and Ni at (0.000, 0.500, 0.500).

Its energy is -180.92 eV per cell. The energy of formation comes out at -0.307 eV/atom. The calculation puts the density at 8.3 g/cm3.

***

This record from Alexandria via LeMat-Bulk describes AlNi2 at its PBEsol-relaxed geometry. The functional is SCAN.

The structure belongs to space group I4_1/amd (No. 141, origin choice 2); the cell edges are 3.495, 3.495 and 21.950 Å and the angles 90.00°, 90.00° and 90.00°. The asymmetric unit holds Al at (0.000, 0.250, 0.297), Ni at (0.000, 0.250, 0.124) and Ni at (0.000, 0.250, 0.792).

Its energy is -334.16 eV per cell. The energy of formation comes out at -0.557 eV/atom. The calculation puts the density at 7.2 g/cm3.

***

This record from Alexandria via LeMat-Bulk describes Al5Ni3 at its PBEsol-relaxed geometry. The functional is SCAN.

The structure belongs to space group P6_3/mcm (No. 193); the cell edges are 6.9608, 6.9608 and 4.9926 Å and the angles 90.00°, 90.00° and 120.00°. The asymmetric unit holds Al at (0.0000, 0.2515, 0.2500), Al at (0.3333, 0.6667, 0.0000) and Ni at (0.0000, 0.3956, 0.7500).

Its energy is -183.92 eV per cell. The energy of formation comes out at -0.585 eV/atom. The calculation puts the density at 4.9 g/cm3.

***

This record from Alexandria via LeMat-Bulk describes Al4Ni3 at its PBEsol-relaxed geometry. The functional is SCAN.

The structure belongs to space group Ia-3d (No. 230); the cell edges are 11.300, 11.300 and 11.300 Å and the angles 90.00°, 90.00° and 90.00°. The asymmetric unit holds Al at (0.000, 0.000, 0.000), Al at (0.000, 0.250, 0.009) and Ni at (0.118, 0.125, 0.868).

Its energy is -1354.35 eV per cell. The energy of formation comes out at -0.731 eV/atom. The calculation puts the density at 5.2 g/cm3.

***

This record from Alexandria via LeMat-Bulk describes AlNi5 at its PBEsol-relaxed geometry. The functional is SCAN.

The structure belongs to space group Cm (No. 8); the cell edges are 9.096, 2.543 and 5.794 Å and the angles 90.00°, 106.22° and 90.00°. The asymmetric unit holds Al at (0.000, 0.000, 0.000), Ni at (0.118, 0.500, 0.733), Ni at (0.167, 0.500, 0.335), Ni at (0.284, 0.000, 0.068), Ni at (0.334, 0.000, 0.667) and Ni at (0.451, 0.500, 0.406).

Its energy is -179.76 eV per cell. The energy of formation comes out at -0.210 eV/atom. The calculation puts the density at 8.3 g/cm3.

***

This record from Alexandria via LeMat-Bulk describes AlNi5 at its PBEsol-relaxed geometry. The functional is SCAN.

The structure belongs to space group Amm2 (No. 38); the cell edges are 4.009, 2.556 and 12.570 Å and the angles 90.00°, 90.00° and 90.00°. The asymmetric unit holds Al at (0.000, 0.000, 0.000), Ni at (0.000, 0.000, 0.333), Ni at (0.000, 0.000, 0.667), Ni at (0.500, 0.000, 0.214), Ni at (0.500, 0.000, 0.550) and Ni at (0.500, 0.000, 0.879).

Its energy is -179.83 eV per cell. The energy of formation comes out at -0.216 eV/atom. The calculation puts the density at 8.3 g/cm3.

***

This record from Alexandria via LeMat-Bulk describes AlNi5 at its PBEsol-relaxed geometry. The functional is SCAN.

The structure belongs to space group P-62m (No. 189); the cell edges are 4.2922, 4.2922 and 4.0225 Å and the angles 90.00°, 90.00° and 120.00°. The asymmetric unit holds Al at (0.0000, 0.0000, 0.0000), Ni at (0.0000, 0.6580, 0.5000) and Ni at (0.3333, 0.6667, 0.0000).

Its energy is -90.18 eV per cell. The energy of formation comes out at -0.260 eV/atom. The calculation puts the density at 8.3 g/cm3.

***

This record from Alexandria via LeMat-Bulk describes AlNi2 at its PBEsol-relaxed geometry. The functional is SCAN.

The structure belongs to space group P-62m (No. 189); the cell edges are 6.7230, 6.7230 and 2.5932 Å and the angles 90.00°, 90.00° and 120.00°. The asymmetric unit holds Al at (0.0000, 0.0000, 0.0000), Al at (0.3333, 0.6667, 0.5000), Ni at (0.0000, 0.2983, 0.5000) and Ni at (0.0000, 0.6332, 0.0000).

Its energy is -124.47 eV per cell. The energy of formation comes out at -0.464 eV/atom. The calculation puts the density at 7.1 g/cm3.